(1)
# ZnFe3 | Alexandria via LeMat-Bulk | GGA-PBE | optimized geometry
# E_form ... 0.05 eV/atom
data_ZnFe3
_space_group_name_H-M_alt 'I m m m'
_space_group_IT_number 71
_space_group_name_Hall '-I 2 2'
_cell_length_a 3.0090
_cell_length_b 4.0383
_cell_length_c 7.9852
_cell_angle_alpha 90.00
_cell_angle_beta 90.00
_cell_angle_gamma 90.00
loop_
_atom_site_label
_atom_site_fract_x
_atom_site_fract_y
_atom_site_fract_z
Zn1 0.0000 0.0000 0.0000
Fe1 0.0000 0.0000 0.5000
Fe2 0.0000 0.5000 0.2418

***

(2)
# Nd3Sb2Pd7 | Alexandria via LeMat-Bulk | GGA-PBE | optimized geometry
# VASP energy ... -5.635 eV per atom
data_Nd3Sb2Pd7
_space_group_name_H-M_alt 'I 4/m m m'
_space_group_IT_number 139
_space_group_name_Hall '-I 4 2'
_cell_length_a 4.2178
_cell_length_b 4.2178
_cell_length_c 28.6736
_cell_angle_alpha 90.00
_cell_angle_beta 90.00
_cell_angle_gamma 90.00
loop_
_atom_site_label
_atom_site_fract_x
_atom_site_fract_y
_atom_site_fract_z
Nd1 0.0000 0.0000 0.0000
Nd2 0.0000 0.0000 0.1753
Sb1 0.0000 0.0000 0.3706
Pd1 0.0000 0.0000 0.2757
Pd2 0.0000 0.0000 0.5000
Pd3 0.0000 0.5000 0.0739

***

(3)
# Ta4Ti3Nb2 | Alexandria via LeMat-Bulk | GGA-PBE | optimized geometry
# E_form ... 0.11 eV/atom
data_Ta4Ti3Nb2
_space_group_name_H-M_alt 'C 1 2/c 1'
_space_group_IT_number 15
_cell_length_a 12.0714
_cell_length_b 10.7241
_cell_length_c 5.1028
_cell_angle_alpha 90.00
_cell_angle_beta 97.62
_cell_angle_gamma 90.00
loop_
_space_group_symop_operation_xyz
'x,y,z'
'-x,-y,-z'
'-x,y,-z+1/2'
'x,-y,z+1/2'
'x+1/2,y+1/2,z'
'-x+1/2,-y+1/2,-z'
'-x+1/2,y+1/2,-z+1/2'
'x+1/2,-y+1/2,z+1/2'
loop_
_atom_site_label
_atom_site_fract_x
_atom_site_fract_y
_atom_site_fract_z
Ta1 0.0690 0.2400 0.0297
Ta2 0.1655 0.3242 0.5709
Ti1 0.0000 0.5001 0.2500
Ti2 0.0994 0.0739 0.4914
Nb1 0.2347 0.4115 0.0791

***

(4)
# Ce4SnRu2 | Alexandria via LeMat-Bulk | GGA-PBE | optimized geometry
# E_form ... -0.38 eV/atom
# ΔE to the lowest computed polymorph ... 0.14 eV/f.u.
data_Ce4SnRu2
_space_group_name_H-M_alt 'P 1'
_space_group_IT_number 1
_cell_length_a 6.0884
_cell_length_b 7.2486
_cell_length_c 8.6611
_cell_angle_alpha 107.86
_cell_angle_beta 107.86
_cell_angle_gamma 95.06
loop_
_space_group_symop_operation_xyz
'x,y,z'
loop_
_atom_site_label
_atom_site_fract_x
_atom_site_fract_y
_atom_site_fract_z
Ce1 0.0000 0.0000 0.0000
Ce2 0.0075 0.4260 0.0442
Ce3 0.2658 0.4450 0.4370
Ce4 0.2834 0.9403 0.3260
Ce5 0.3626 0.2968 0.7757
Ce6 0.4055 0.8797 0.7670
Ce7 0.6385 0.7567 0.2068
Ce8 0.8175 0.5317 0.5907
Sn1 0.5599 0.2450 0.1603
Sn2 0.7929 0.0812 0.6382
Ru1 0.0469 0.8140 0.4926
Ru2 0.2110 0.6472 0.9074
Ru3 0.7075 0.6430 0.8942
Ru4 0.9562 0.1679 0.3857

***

(5)
# Li2Be2Au3 | Alexandria via LeMat-Bulk | GGA-PBE | optimized geometry
# E_form ... -0.33 eV/atom
data_Li2Be2Au3
_space_group_name_H-M_alt 'C m m m'
_space_group_IT_number 65
_space_group_name_Hall '-C 2 2'
_cell_length_a 3.7074
_cell_length_b 18.9391
_cell_length_c 2.8087
_cell_angle_alpha 90.00
_cell_angle_beta 90.00
_cell_angle_gamma 90.00
loop_
_atom_site_label
_atom_site_fract_x
_atom_site_fract_y
_atom_site_fract_z
Li1 0.0000 0.0777 0.0000
Be1 0.0000 0.2133 0.0000
Au1 0.0000 0.3276 0.5000
Au2 0.0000 0.5000 0.5000

***

(6)
# GdZnSb2 | Alexandria via LeMat-Bulk | GGA-PBE | optimized geometry
# ΔE to the lowest computed polymorph ... 0.63 eV/f.u.
data_GdZnSb2
_space_group_name_H-M_alt 'R -3 m'
_space_group_IT_number 166
_space_group_name_Hall '-R 3 2"'
_cell_length_a 4.8774
_cell_length_b 4.8774
_cell_length_c 14.9121
_cell_angle_alpha 90.00
_cell_angle_beta 90.00
_cell_angle_gamma 120.00
loop_
_atom_site_label
_atom_site_fract_x
_atom_site_fract_y
_atom_site_fract_z
Gd1 0.0000 0.0000 0.0000
Zn1 0.0000 0.0000 0.5000
Sb1 0.0000 0.0000 0.2283